No. 1
{"formula": "Ce2Pm3NpAs6", "functional": "PBE", "state": "relaxed", "lattice": [[-0.0456, 4.1627, 0.5837], [-2.6372, 1.0830, -7.9292], [-7.7849, -2.8357, 4.4782]], "species": ["Ce", "As", "Pm", "Np", "As", "Pm", "As", "As", "As", "As", "Pm", "Ce"], "fractional_positions": [[0.1657, 0.3318, 0.3313], [0.6679, 0.5807, 0.3358], [0.5000, 0.5000, 0.0000], [0.5000, 0.0000, 0.0000], [0.3358, 0.9160, 0.6716], [0.8326, 0.1667, 0.6651], [0.6642, 0.0840, 0.3284], [0.9999, 0.7572, 0.9998], [0.3321, 0.4193, 0.6642], [0.0001, 0.2428, 0.0002], [0.1674, 0.8333, 0.3349], [0.8343, 0.6682, 0.6687]], "crystal_system": "monoclinic", "vol_a3_per_cell": 316, "delta_e_f_ev_per_fu": -16.23, "n_ef_per_ev_fu": 21.11}

No. 2
{"formula": "NdErNiAu", "functional": "PBE", "state": "relaxed", "lattice": [[5.0254, 0.0000, 0.0000], [2.5127, 4.3522, 0.0000], [2.5127, 1.4507, 4.1033]], "species": ["Er", "Au", "Ni", "Nd"], "fractional_positions": [[0.0000, 0.0000, 0.0000], [0.2500, 0.2500, 0.2500], [0.7500, 0.7500, 0.7500], [0.5000, 0.5000, 0.5000]], "crystal_system": "cubic", "vol_a3_per_cell": 90, "delta_e_f_ev_per_fu": -2.12, "n_ef_per_ev_fu": 2.89}

No. 3
{"formula": "ThCoB", "functional": "PBE", "state": "relaxed", "lattice": [[3.9256, 0.0000, -0.0002], [0.0000, 3.4385, -0.0013], [0.0005, 0.0024, 6.9851]], "species": ["Th", "B", "Th", "Co", "Co", "B"], "fractional_positions": [[0.3116, 0.2162, 0.6381], [0.8116, 0.2162, 0.3353], [0.3116, 0.7162, 0.1548], [0.8116, 0.7162, 0.7752], [0.8116, 0.2162, 0.0177], [0.8116, 0.7162, 0.4576]], "crystal_system": "orthorhombic", "vol_a3_per_cell": 94, "delta_e_f_ev_per_fu": -0.88, "n_ef_per_ev_fu": 2.67}

No. 4
{"formula": "AcH8Pd4Pt", "functional": "PBE", "state": "relaxed", "lattice": [[-1.7807, -2.9044, 4.8112], [3.9755, -2.1552, 3.7822], [0.6323, 2.4852, 5.3460]], "species": ["Pd", "H", "H", "Pd", "Pt", "Pd", "H", "H", "H", "H", "Ac", "H", "H", "Pd"], "fractional_positions": [[0.6251, 0.6251, 0.1248], [0.7666, 0.2257, 0.2411], [0.7666, 0.7666, 0.2411], [0.9968, 0.5076, 0.4988], [0.9964, 0.9964, 0.0107], [0.5076, 0.9968, 0.4988], [0.2016, 0.2016, 0.7282], [0.2016, 0.8685, 0.7282], [0.8685, 0.2016, 0.7282], [0.2116, 0.2116, 0.3653], [0.3743, 0.3743, 0.8770], [0.2257, 0.7666, 0.2411], [0.7607, 0.7607, 0.7179], [0.9968, 0.9968, 0.4988]], "crystal_system": "trigonal", "total_energy_ev_per_atom": -4.310, "vol_a3_per_cell": 146, "n_ef_per_ev_fu": 4.12}

No. 5
{"formula": "RbCuO3", "functional": "PBE", "state": "relaxed", "lattice": [[3.9461, 0.0000, 0.0000], [0.0000, 3.9461, 0.0000], [0.0000, 0.0000, 3.9461]], "species": ["O", "Cu", "O", "O", "Rb"], "fractional_positions": [[0.0000, 0.0000, 0.5000], [0.0000, 0.0000, 0.0000], [0.5000, 0.0000, 0.0000], [0.0000, 0.5000, 0.0000], [0.5000, 0.5000, 0.5000]], "crystal_system": "cubic", "raw_formation_energy_mev_per_atom": -223, "vol_a3_per_cell": 61, "n_ef_per_ev_fu": 5.23}

No. 6
{"formula": "Sc2BeCu6Pt", "functional": "PBE", "state": "relaxed", "lattice": [[5.6583, 0.9461, 1.2938], [1.1138, 5.9827, 1.6012], [4.3806, 4.5241, 6.2889]], "species": ["Cu", "Cu", "Be", "Pt", "Sc", "Sc", "Cu", "Cu", "Cu", "Cu"], "fractional_positions": [[0.7574, 0.2408, 0.8146], [0.1812, 0.3106, 0.9905], [0.0000, 0.0000, 0.0000], [0.5000, 0.5000, 0.0000], [0.2380, 0.7582, 0.4894], [0.7620, 0.2418, 0.5106], [0.2426, 0.7592, 0.1854], [0.3149, 0.1859, 0.5134], [0.8188, 0.6894, 0.0095], [0.6851, 0.8141, 0.4866]], "crystal_system": "triclinic", "vol_a3_per_cell": 145, "delta_e_f_ev_per_fu": -1.81, "n_ef_per_ev_fu": 5.81}

No. 7
{"formula": "ErRe4C2", "functional": "PBE", "state": "relaxed", "lattice": [[-0.1760, 0.2468, -3.9356], [-3.9531, 0.0852, 0.1821], [2.1414, 6.7147, 0.3253]], "species": ["Er", "C", "Re", "C", "Re", "Re", "Re"], "fractional_positions": [[0.0000, 0.0000, 0.0000], [0.5000, 0.3711, 0.7421], [0.5000, 0.1751, 0.3503], [0.5000, 0.6289, 0.2579], [0.0000, 0.6836, 0.3672], [0.5000, 0.8249, 0.6497], [0.0000, 0.3164, 0.6328]], "crystal_system": "orthorhombic", "vol_a3_per_cell": 106, "delta_e_f_ev_per_fu": 1.08, "n_ef_per_ev_fu": 2.73}

No. 8
{"formula": "KNaOs3", "functional": "PBE", "state": "relaxed", "lattice": [[4.7738, 0.0000, 0.0000], [0.0000, 4.7738, 0.0000], [0.0000, 0.0000, 4.7738]], "species": ["Os", "Na", "K", "Os", "Os"], "fractional_positions": [[0.5000, 0.0000, 0.0000], [0.0000, 0.0000, 0.0000], [0.5000, 0.5000, 0.5000], [0.0000, 0.5000, 0.0000], [0.0000, 0.0000, 0.5000]], "crystal_system": "cubic", "vol_a3_per_cell": 109, "delta_e_f_ev_per_fu": 15.84, "n_ef_per_ev_fu": 8.56}

No. 9
{"formula": "La2ReTcN6", "functional": "PBE", "state": "relaxed", "lattice": [[-1.6823, -4.9711, 1.9218], [0.4415, -2.1353, -5.1369], [7.5870, -1.9903, 1.4795]], "species": ["N", "N", "La", "N", "N", "Tc", "Re", "N", "N", "La", "Tc", "N", "N", "N", "La", "N", "La", "Re", "N", "N"], "fractional_positions": [[0.7221, 0.2806, 0.9789], [0.2779, 0.7194, 0.0211], [0.5004, 0.4810, 0.2500], [0.4568, 0.9957, 0.7489], [0.5432, 0.0043, 0.2511], [0.0000, 0.5000, 0.5000], [0.5000, 0.0000, 0.5000], [0.2200, 0.2214, 0.0211], [0.2221, 0.2194, 0.4789], [0.4996, 0.5190, 0.7500], [0.5000, 0.0000, 0.0000], [0.7200, 0.2786, 0.5211], [0.9568, 0.5043, 0.2489], [0.2800, 0.7214, 0.4789], [0.0004, 0.0190, 0.7500], [0.7800, 0.7786, 0.9789], [0.9996, 0.9810, 0.2500], [0.0000, 0.5000, 0.0000], [0.7779, 0.7806, 0.5211], [0.0432, 0.4957, 0.7511]], "crystal_system": "monoclinic", "raw_formation_energy_mev_per_atom": -669, "vol_a3_per_cell": 249, "n_ef_per_ev_fu": 3.36}

No. 10
{"formula": "Rb2HRuF6", "functional": "PBE", "state": "relaxed", "lattice": [[-3.6373, -3.2974, 2.2255], [3.9304, -3.4444, 1.3204], [0.7203, -1.0236, 6.1884]], "species": ["H", "Ru", "F", "F", "Rb", "F", "Rb", "F", "F", "F"], "fractional_positions": [[0.5000, 0.5000, 0.0000], [0.0000, 0.0000, 0.0000], [0.2698, 0.7302, 0.0000], [0.7302, 0.7302, 0.0000], [0.7500, 0.2500, 0.5000], [0.7997, 0.7997, 0.4007], [0.2500, 0.7500, 0.5000], [0.2698, 0.2698, 0.0000], [0.2003, 0.2003, 0.5993], [0.7302, 0.2698, 0.0000]], "crystal_system": "tetragonal", "total_energy_ev_per_atom": -4.362, "vol_a3_per_cell": 146, "n_ef_per_ev_fu": 13.69}

No. 11
{"formula": "CePuPbO2", "functional": "PBE", "state": "relaxed", "lattice": [[3.9435, 0.0000, 0.0000], [0.0000, 3.9435, 0.0000], [-1.9717, -1.9717, 6.8676]], "species": ["O", "O", "Pb", "Ce", "Pu"], "fractional_positions": [[0.7500, 0.2500, 0.5000], [0.2500, 0.7500, 0.5000], [0.5027, 0.5027, 0.0054], [0.8354, 0.8354, 0.6708], [0.1619, 0.1619, 0.3238]], "crystal_system": "tetragonal", "raw_formation_energy_mev_per_atom": -2295, "vol_a3_per_cell": 107, "n_ef_per_ev_fu": 12.65}

No. 12
{"formula": "La2TbSm3As6", "functional": "PBE", "state": "relaxed", "lattice": [[4.2595, 0.0000, 0.0000], [0.0000, 8.5119, 0.3020], [-2.1298, -2.4536, 8.9469]], "species": ["Sm", "La", "As", "Sm", "La", "As", "Sm", "As", "As", "Tb", "As", "As"], "fractional_positions": [[0.1668, 0.8344, 0.3337], [0.1653, 0.3312, 0.3306], [0.6650, 0.5877, 0.3299], [0.5000, 0.5000, 0.0000], [0.8347, 0.6688, 0.6694], [0.3350, 0.4123, 0.6701], [0.8332, 0.1656, 0.6663], [0.6651, 0.0771, 0.3301], [0.9978, 0.2454, 0.9956], [0.5000, 0.0000, 0.0000], [0.3349, 0.9229, 0.6699], [0.0022, 0.7546, 0.0044]], "crystal_system": "monoclinic", "vol_a3_per_cell": 328, "delta_e_f_ev_per_fu": -18.43, "n_ef_per_ev_fu": 1.59}